DFT (PBE-GGA) results for an optimized crystal structure of SrYCu2.

Unit cell a=6.187 b=6.187 c=6.187 alpha=140.06 beta=140.06 gamma=57.76
Atoms (fractional coordinates):
Cu (0.000, 0.000, 0.000)
Y (0.750, 0.250, 0.500)
Cu (0.250, 0.750, 0.500)
Sr (0.500, 0.500, 0.000)

Computed properties:
electronic total energy = -3.879 eV/atom
spin magnetization = 0.0 μB/cell
offset from the most stable computed form = 0.321 eV/atom
formation enthalpy at 0 K = 0.2056 eV per atom

DFT (PBE-GGA) results for an optimized crystal structure of Sr2YCu.

Unit cell a=5.703 b=5.703 c=4.204 alpha=89.97 beta=89.97 gamma=90.07
Atoms (fractional coordinates):
Cu (0.000, 0.500, 0.500)
Sr (0.500, 0.500, 0.000)
Y (0.500, 0.000, 0.500)
Sr (0.000, 0.000, 0.000)

Computed properties:
electronic total energy = -3.153 eV/atom
spin magnetization = 0.0 μB/cell
offset from the most stable computed form = 0.316 eV/atom
formation enthalpy at 0 K = 0.3279 eV per atom

DFT (PBE-GGA) results for an optimized crystal structure of SrY2Cu2.

Unit cell a=5.157 b=5.157 c=6.656 alpha=67.21 beta=67.21 gamma=90.00
Last column: magnetic moment on the atom in μB.
Atoms (fractional coordinates):
Cu (0.750, 0.250, 0.500)  0.02
Y (0.658, 0.658, 0.684)  0.26
Sr (0.000, 0.000, 0.000)  0.04
Y (0.342, 0.342, 0.316)  0.26
Cu (0.250, 0.750, 0.500)  0.02

Computed properties:
electronic total energy = -4.423 eV/atom
spin magnetization = 1.4 μB/cell
offset from the most stable computed form = 0.171 eV/atom
formation enthalpy at 0 K = 0.1372 eV per atom

DFT (PBE-GGA) results for an optimized crystal structure of Sr2YCu.

Unit cell a=9.592 b=9.592 c=9.592 alpha=157.32 beta=153.87 gamma=34.87
Atoms (fractional coordinates):
Sr (0.090, 0.090, 0.000)
Cu (0.250, 0.750, 0.500)
Y (0.750, 0.250, 0.500)
Sr (0.410, 0.410, 0.000)

Computed properties:
electronic total energy = -3.361 eV/atom
spin magnetization = 0.0 μB/cell
offset from the most stable computed form = 0.108 eV/atom
formation enthalpy at 0 K = 0.1197 eV per atom

DFT (PBE-GGA) results for an optimized crystal structure of Sr2YCu.

Unit cell a=4.618 b=5.530 c=5.235 alpha=90.00 beta=90.00 gamma=90.00
Atoms (fractional coordinates):
Cu (0.000, 0.500, 0.500)
Sr (0.500, 0.500, 0.000)
Y (0.500, 0.000, 0.500)
Sr (0.000, 0.000, 0.000)

Computed properties:
electronic total energy = -3.128 eV/atom
spin magnetization = 0.0 μB/cell
offset from the most stable computed form = 0.341 eV/atom
formation enthalpy at 0 K = 0.3531 eV per atom

DFT (PBE-GGA) results for an optimized crystal structure of SrYCu2.

Unit cell a=5.104 b=5.104 c=5.104 alpha=60.00 beta=60.00 gamma=60.00
Atoms (fractional coordinates):
Y (0.500, 0.500, 0.500)
Cu (0.250, 0.250, 0.250)
Sr (0.000, 0.000, 0.000)
Cu (0.750, 0.750, 0.750)

Computed properties:
electronic total energy = -4.100 eV/atom
spin magnetization = 0.0 μB/cell
offset from the most stable computed form = 0.100 eV/atom
formation enthalpy at 0 K = -0.0155 eV per atom